Computed, not measured: a relaxed structure of LiInAu4 at the GGA-PBE level of DFT.

Summary:
Total energy ... -3.19 eV per atom
SG ... Cmc2_1
Volume ... 19.98 Å³ per atom
Spin magnetization ... 0.000 Bohr magnetons per cell
ΔE_f ... -0.225 eV/atom
Polymorph energy (0 for the lowest one) ... 0.38 eV/f.u.

Geometry as CIF:
```
data_LiInAu4
_chemical_formula_sum 'Li2 In2 Au8'
_cell_length_a 9.6798
_cell_length_b 9.6798
_cell_length_c 5.5237
_cell_angle_alpha 90.00
_cell_angle_beta 90.00
_cell_angle_gamma 152.40
_symmetry_space_group_name_H-M 'P 1'
_symmetry_Int_Tables_number 1
loop_
_symmetry_equiv_pos_as_xyz
'x,y,z'
loop_
_atom_site_label
_atom_site_fract_x
_atom_site_fract_y
_atom_site_fract_z
Li1 0.0804 0.9196 0.5000
Li2 0.9196 0.0804 0.0000
In1 0.3503 0.6497 0.4967
In2 0.6497 0.3503 0.9967
Au1 0.0592 0.9408 0.9999
Au2 0.2041 0.7959 0.2509
Au3 0.2045 0.7955 0.7448
Au4 0.4999 0.5001 0.2493
Au5 0.5001 0.4999 0.7493
Au6 0.7955 0.2045 0.2448
Au7 0.7959 0.2041 0.7509
Au8 0.9408 0.0592 0.4999
```